First-principles (GGA-PBE) data for a relaxed LaHfSi2O8 crystal, as listed in Alexandria.

Values from the calculation:
- Energy relative to the elements, uncorrected: -2.90 eV per atom

Cell: 6.948 6.948 6.207 Å, 90.00 90.00 90.00°
Space group I-4m2 (No. 119)
Inequivalent atoms, fractional coordinates:
La1 0.000 0.000 0.000 (multiplicity 2)
Hf1 0.000 0.500 0.750 (multiplicity 2)
Si1 0.000 0.000 0.500 (multiplicity 2)
Si2 0.000 0.500 0.250 (multiplicity 2)
O1 0.000 0.192 0.659 (multiplicity 8)
O2 0.000 0.332 0.065 (multiplicity 8)